Sc4ZnNi2Os | PBE-GGA | optimized geometry

Unit cell a=4.5655 b=4.5655 c=7.9401 alpha=73.29 beta=73.29 gamma=60.00
Closest atoms and distances in Å follow each position.
Element x y z (fractional)
Sc1 0.3791 0.3791 0.8627  1 Os 2.72, 4 Ni 2.77-2.91, 3 Zn 2.83
Sc2 0.8719 0.8719 0.3842  4 Ni 2.73-2.82, 3 Os 2.77, 1 Zn 2.88
Sc3 0.1281 0.1281 0.6158  4 Ni 2.73-2.82, 3 Os 2.77, 1 Zn 2.88
Sc4 0.6209 0.6209 0.1373  1 Os 2.72, 4 Ni 2.77-2.91, 3 Zn 2.83
Zn1 0.0000 0.0000 0.0000  8 Sc 2.83-2.88
Ni1 0.7505 0.7505 0.7484  8 Sc 2.73-2.91
Ni2 0.2495 0.2495 0.2516  8 Sc 2.73-2.91
Os1 0.5000 0.5000 0.5000  8 Sc 2.72-2.77

Output
* M_tot: 0.00 μB per formula unit
* crystal system: trigonal
* raw total energy: -6.640 eV per atom